No. 1
Entry from Alexandria: a relaxed NbMo3S4 crystal (GGA-PBE).

Values from the calculation:
Density ... 5.8 g/cm3
Symmetry ... Pmn2_1, No. 31

abc: 7.778 5.980 6.227
angles: 90.00 90.00 90.00
Sites, in units of the cell vectors:
Nb (0.000, 0.206, 0.000)
Nb (0.500, 0.794, 0.500)
Mo (0.000, 0.890, 0.308)
Mo (0.201, 0.683, 0.927)
Mo (0.299, 0.317, 0.427)
Mo (0.500, 0.110, 0.808)
Mo (0.701, 0.317, 0.427)
Mo (0.799, 0.683, 0.927)
S (0.000, 0.274, 0.382)
S (0.000, 0.891, 0.727)
S (0.247, 0.316, 0.797)
S (0.253, 0.684, 0.297)
S (0.500, 0.109, 0.227)
S (0.500, 0.726, 0.882)
S (0.747, 0.684, 0.297)
S (0.753, 0.316, 0.797)

No. 2
Entry from Alexandria: a relaxed Nb3MoS crystal (GGA-PBE).

Values from the calculation:
Density ... 5.9 g/cm3
Symmetry ... Pm-3m, No. 221

abc: 4.856 4.856 4.856
angles: 90.00 90.00 90.00
Sites, in units of the cell vectors:
Nb (0.000, 0.000, 0.500)
Nb (0.000, 0.500, 0.000)
Nb (0.500, 0.000, 0.000)
Mo (0.000, 0.000, 0.000)
S (0.500, 0.500, 0.500)

No. 3
Entry from Alexandria: a relaxed NbMoS3 crystal (GGA-PBE).

Values from the calculation:
Density ... 4.6 g/cm3
Symmetry ... C2/m, No. 12

abc: 10.297 10.297 6.472
angles: 94.73 94.73 17.58
Sites, in units of the cell vectors:
Nb (0.081, 0.081, 0.460)
Nb (0.919, 0.919, 0.540)
Mo (0.394, 0.394, 0.134)
Mo (0.606, 0.606, 0.866)
S (0.020, 0.020, 0.780)
S (0.146, 0.146, 0.124)
S (0.331, 0.331, 0.416)
S (0.669, 0.669, 0.584)
S (0.854, 0.854, 0.876)
S (0.980, 0.980, 0.220)

No. 4
Entry from Alexandria: a relaxed NbMoS3 crystal (GGA-PBE).

Values from the calculation:
Density ... 4.7 g/cm3
Symmetry ... Pm-3m, No. 221

abc: 4.660 4.660 4.660
angles: 90.00 90.00 90.00
Sites, in units of the cell vectors:
Nb (0.000, 0.000, 0.000)
Mo (0.500, 0.500, 0.500)
S (0.000, 0.500, 0.500)
S (0.500, 0.000, 0.500)
S (0.500, 0.500, 0.000)

No. 5
Entry from Alexandria: a relaxed NbMo2S6 crystal (GGA-PBE).

Values from the calculation:
Density ... 4.1 g/cm3
Symmetry ... C2/m, No. 12

abc: 7.469 7.469 9.472
angles: 119.21 119.21 25.30
Sites, in units of the cell vectors:
Nb (0.000, 0.000, 0.000)
Mo (0.315, 0.315, 0.636)
Mo (0.685, 0.685, 0.364)
S (0.038, 0.038, 0.286)
S (0.313, 0.313, 0.383)
S (0.358, 0.358, 0.937)
S (0.642, 0.642, 0.063)
S (0.687, 0.687, 0.617)
S (0.962, 0.962, 0.714)

No. 6
Entry from Alexandria: a relaxed NbMo3S6 crystal (GGA-PBE).

Values from the calculation:
Density ... 5.3 g/cm3
Symmetry ... R-3, No. 148

abc: 7.109 7.109 7.109
angles: 88.60 88.60 88.60
Sites, in units of the cell vectors:
Nb (0.000, 0.000, 0.000)
Nb (0.500, 0.500, 0.500)
Mo (0.099, 0.615, 0.239)
Mo (0.239, 0.099, 0.615)
Mo (0.385, 0.761, 0.901)
Mo (0.615, 0.239, 0.099)
Mo (0.761, 0.901, 0.385)
Mo (0.901, 0.385, 0.761)
S (0.065, 0.665, 0.903)
S (0.097, 0.935, 0.335)
S (0.167, 0.410, 0.532)
S (0.335, 0.097, 0.935)
S (0.410, 0.532, 0.167)
S (0.468, 0.833, 0.590)
S (0.532, 0.167, 0.410)
S (0.590, 0.468, 0.833)
S (0.665, 0.903, 0.065)
S (0.833, 0.590, 0.468)
S (0.903, 0.065, 0.665)
S (0.935, 0.335, 0.097)

No. 7
Entry from Alexandria: a relaxed Nb3MoS crystal (GGA-PBE).

Values from the calculation:
Density ... 7.2 g/cm3
Symmetry ... Pm-3m, No. 221

abc: 4.544 4.544 4.544
angles: 90.00 90.00 90.00
Sites, in units of the cell vectors:
Nb (0.000, 0.000, 0.500)
Nb (0.000, 0.500, 0.000)
Nb (0.500, 0.000, 0.000)
Mo (0.500, 0.500, 0.500)
S (0.000, 0.000, 0.000)

No. 8
Entry from Alexandria: a relaxed NbMoS3 crystal (GGA-PBE).

Values from the calculation:
Density ... 5.4 g/cm3
Symmetry ... P2_1/m, No. 11

abc: 6.264 3.280 8.754
angles: 90.00 103.69 90.00
Sites, in units of the cell vectors:
Nb (0.191, 0.250, 0.493)
Nb (0.809, 0.750, 0.507)
Mo (0.387, 0.250, 0.875)
Mo (0.613, 0.750, 0.125)
S (0.007, 0.750, 0.297)
S (0.233, 0.750, 0.015)
S (0.471, 0.750, 0.664)
S (0.529, 0.250, 0.336)
S (0.767, 0.250, 0.985)
S (0.993, 0.250, 0.703)

No. 9
Entry from Alexandria: a relaxed NbMoS2 crystal (GGA-PBE).

Values from the calculation:
Density ... 6.2 g/cm3
Symmetry ... R-3m, No. 166

abc: 8.405 8.405 8.405
angles: 21.21 21.21 21.21
Sites, in units of the cell vectors:
Nb (0.000, 0.000, 0.000)
Mo (0.500, 0.500, 0.500)
S (0.404, 0.404, 0.404)
S (0.596, 0.596, 0.596)

No. 10
Entry from Alexandria: a relaxed NbMoS2 crystal (GGA-PBE).

Values from the calculation:
Density ... 7.3 g/cm3
Symmetry ... Fm-3m, No. 225

abc: 4.328 4.328 4.328
angles: 60.00 60.00 60.00
Sites, in units of the cell vectors:
Nb (0.000, 0.000, 0.000)
Mo (0.500, 0.500, 0.500)
S (0.250, 0.250, 0.250)
S (0.750, 0.750, 0.750)

No. 11
Entry from Alexandria: a relaxed NbMoS3 crystal (GGA-PBE).

Values from the calculation:
Density ... 5.2 g/cm3
Symmetry ... C2/c, No. 15

abc: 7.574 7.574 6.660
angles: 101.88 101.88 86.06
Sites, in units of the cell vectors:
Nb (0.031, 0.969, 0.750)
Nb (0.279, 0.721, 0.250)
Nb (0.721, 0.279, 0.750)
Nb (0.969, 0.031, 0.250)
Mo (0.123, 0.351, 0.976)
Mo (0.351, 0.123, 0.476)
Mo (0.649, 0.877, 0.524)
Mo (0.877, 0.649, 0.024)
S (0.059, 0.229, 0.594)
S (0.138, 0.637, 0.872)
S (0.229, 0.059, 0.094)
S (0.292, 0.433, 0.333)
S (0.363, 0.862, 0.628)
S (0.433, 0.292, 0.833)
S (0.567, 0.708, 0.167)
S (0.637, 0.138, 0.372)
S (0.708, 0.567, 0.667)
S (0.771, 0.941, 0.906)
S (0.862, 0.363, 0.128)
S (0.941, 0.771, 0.406)

No. 12
Entry from Alexandria: a relaxed Nb3MoS6 crystal (GGA-PBE).

Values from the calculation:
Density ... 4.5 g/cm3
Symmetry ... R-3, No. 148

abc: 7.800 7.800 7.800
angles: 72.24 72.24 72.24
Sites, in units of the cell vectors:
Nb (0.124, 0.637, 0.264)
Nb (0.264, 0.124, 0.637)
Nb (0.363, 0.736, 0.876)
Nb (0.637, 0.264, 0.124)
Nb (0.736, 0.876, 0.363)
Nb (0.876, 0.363, 0.736)
Mo (0.000, 0.000, 0.000)
Mo (0.500, 0.500, 0.500)
S (0.038, 0.934, 0.321)
S (0.066, 0.679, 0.962)
S (0.172, 0.469, 0.587)
S (0.321, 0.038, 0.934)
S (0.413, 0.828, 0.531)
S (0.469, 0.587, 0.172)
S (0.531, 0.413, 0.828)
S (0.587, 0.172, 0.469)
S (0.679, 0.962, 0.066)
S (0.828, 0.531, 0.413)
S (0.934, 0.321, 0.038)
S (0.962, 0.066, 0.679)

Number 1: E -7.67 eV/atom. Number 2: E -7.66 eV/atom. Number 3: E -7.31 eV/atom. Number 4: E -6.25 eV/atom. Number 5: E -7.05 eV/atom. Number 6: E -7.17 eV/atom. Number 7: E -8.69 eV/atom. Number 8: E -7.55 eV/atom. Number 9: E -7.64 eV/atom. Number 10: E -7.64 eV/atom. Number 11: E -7.30 eV/atom. Number 12: E -7.33 eV/atom.